1.
A plane-wave DFT calculation with PBE-GGA was carried out for an optimized crystal structure of NaPmHgBr6.

```
NaPmHgBr6
1.0
7.265 0.000 0.000
-3.632 6.292 0.000
0.000 0.000 13.570
Na Pm Hg Br
2 2 2 12
Direct
0.000 0.000 0.000
0.000 0.000 0.500
0.333 0.667 0.250
0.667 0.333 0.750
0.333 0.667 0.750
0.667 0.333 0.250
0.003 0.353 0.628
0.003 0.650 0.872
0.350 0.353 0.872
0.350 0.997 0.628
0.353 0.003 0.128
0.353 0.350 0.372
0.647 0.650 0.628
0.647 0.997 0.872
0.650 0.003 0.372
0.650 0.647 0.128
0.997 0.350 0.128
0.997 0.647 0.372
```

For the energy relative to the elements, uncorrected, the calculation gives -1292.9 meV per atom. The mass density comes out at 4.54 Mg/m³. As for the space-group type: P-31c, No. 163. For the density of states at the Fermi level, the calculation gives 0.00 states/eV/f.u. Its total magnetization is 0.0 μB/cell.

2.
A plane-wave DFT calculation with PBE-GGA was carried out for an optimized crystal structure of Ca2OsS2.

```
Ca2OsS2
1.0
-2.789 2.789 3.998
2.789 -2.789 3.998
2.789 2.789 -3.998
Ca Os S
2 1 2
Direct
0.250 0.750 0.500
0.750 0.250 0.500
0.000 0.000 0.000
0.284 0.284 0.000
0.716 0.716 0.000
```

For the energy relative to the elements, uncorrected, the calculation gives -707.5 meV per atom. The mass density comes out at 4.46 Mg/m³. As for the energy above the most stable polymorph in this dataset: 0.57 eV/f.u. As for the space-group type: I4/mmm, No. 139. For the density of states at the Fermi level, the calculation gives 0.49 states/eV/f.u. Its total magnetization is 2.0 μB/cell.

3.
A plane-wave DFT calculation with PBE-GGA was carried out for an optimized crystal structure of NpSnI4.

```
NpSnI4
1.0
4.438 0.000 0.000
0.013 7.398 0.000
2.214 2.671 7.942
Np Sn I
1 1 4
Direct
0.000 0.000 0.000
0.468 0.572 0.059
0.085 0.453 0.826
0.385 0.097 0.230
0.636 0.012 0.727
0.842 0.607 0.315
```

For the energy relative to the elements, uncorrected, the calculation gives -550.8 meV per atom. The mass density comes out at 5.50 Mg/m³. As for the space-group type: P1, No. 1. For the density of states at the Fermi level, the calculation gives 9.37 states/eV/f.u. Its total magnetization is 5.0 μB/cell.